[1]
VASP calculation (GGA-PBE) on a relaxed BaMnSi2S6 crystal.

a = 6.7074 Å, b = 9.5903 Å, c = 9.5903 Å
α = 73.92°, β = 59.81°, γ = 59.81°
Positions (direct):
S 0.2324 0.6111 0.6651
S 0.8827 0.3993 0.9165
S 0.6173 0.0835 0.6007
S 0.0799 0.9644 0.8237
S 0.2676 0.3349 0.3889
S 0.7676 0.3889 0.3349
S 0.5799 0.8237 0.9644
S 0.3827 0.9165 0.3993
S 0.9201 0.0356 0.1763
S 0.4201 0.1763 0.0356
S 0.1173 0.6007 0.0835
S 0.7324 0.6651 0.6111
Si 0.6593 0.1911 0.3717
Si 0.3407 0.8089 0.6283
Si 0.1593 0.3717 0.1911
Si 0.8407 0.6283 0.8089
Mn 0.7500 0.8905 0.1095
Mn 0.2500 0.1095 0.8905
Ba 0.7500 0.3061 0.6939
Ba 0.2500 0.6939 0.3061

The magnetic moment is 0.5000 μB per atom. The value obtained for the formation energy without anion corrections is -0.919 eV/atom.



[2]
VASP calculation (GGA-PBE) on a relaxed NdSmZn2 crystal.

a = 5.1760 Å, b = 5.1760 Å, c = 5.1760 Å
α = 60.00°, β = 60.00°, γ = 60.00°
Positions (direct):
Zn 0.7500 0.7500 0.7500
Zn 0.2500 0.2500 0.2500
Sm 0.0000 0.0000 0.0000
Nd 0.5000 0.5000 0.5000

The excess energy over the best structure of this formula in the dataset is 0.00 eV per formula unit. The magnetic moment is 0.0000 μB per atom. The formation energy comes out at -0.314 eV/atom.



[3]
VASP calculation (GGA-PBE) on a relaxed TePd crystal.

a = 5.6864 Å, b = 8.3793 Å, c = 7.7880 Å
α = 90.00°, β = 90.00°, γ = 90.00°
Positions (direct):
Pd 0.7578 0.6056 0.8936
Pd 0.7422 0.3944 0.3936
Pd 0.9640 0.9088 0.8117
Pd 0.2422 0.1056 0.6063
Pd 0.4640 0.5913 0.1883
Pd 0.0360 0.4088 0.6883
Pd 0.2578 0.8944 0.1064
Pd 0.5360 0.0912 0.3117
Te 0.7408 0.1391 0.6244
Te 0.2070 0.1767 0.9439
Te 0.2930 0.8233 0.4439
Te 0.7930 0.6767 0.5561
Te 0.7070 0.3233 0.0561
Te 0.7592 0.8609 0.1244
Te 0.2592 0.6391 0.8756
Te 0.2408 0.3609 0.3756

The magnetic moment is 0.0000 μB per atom. The value obtained for the formation energy without anion corrections is -0.247 eV/atom.



[4]
VASP calculation (GGA-PBE) on a relaxed Ga2SiPd crystal.

a = 4.5201 Å, b = 4.5201 Å, c = 4.5201 Å
α = 60.00°, β = 60.00°, γ = 60.00°
Positions (direct):
Pd 0.5000 0.5000 0.5000
Ga 0.7500 0.7500 0.7500
Ga 0.2500 0.2500 0.2500
Si 0.0000 0.0000 0.0000

The magnetic moment is 0.0000 μB per atom. The value obtained for the formation energy without anion corrections is 0.008 eV/atom.



[5]
VASP calculation (GGA-PBE) on a relaxed AcTbPm2 crystal.

a = 3.7325 Å, b = 3.7325 Å, c = 20.8498 Å
α = 90.00°, β = 89.99°, γ = 90.00°
Positions (direct):
Pm 0.2489 0.2500 0.7040
Pm 0.2496 0.2500 0.9400
Pm 0.7504 0.7500 0.0600
Pm 0.7511 0.7500 0.2960
Ac 0.2505 0.2500 0.4276
Ac 0.7495 0.7500 0.5724
Tb 0.7490 0.7500 0.8216
Tb 0.2510 0.2500 0.1784

The excess energy over the best structure of this formula in the dataset is 0.02 eV per formula unit. The magnetic moment is 0.0000 μB per atom. The formation energy comes out at 0.039 eV/atom.



[6]
VASP calculation (GGA-PBE) on a relaxed Pr12ZnIn6 crystal.

a = 8.3871 Å, b = 8.3871 Å, c = 8.3871 Å
α = 90.61°, β = 90.61°, γ = 90.61°
Positions (direct):
Pr 0.0544 0.1121 0.3643
Pr 0.1121 0.3643 0.0544
Pr 0.8102 0.5335 0.4325
Pr 0.5675 0.1898 0.4665
Pr 0.5335 0.4325 0.8102
Pr 0.9456 0.8879 0.6357
Pr 0.1898 0.4665 0.5675
Pr 0.3643 0.0544 0.1121
Pr 0.6357 0.9456 0.8879
Pr 0.4665 0.5675 0.1898
Pr 0.8879 0.6357 0.9456
Pr 0.4325 0.8102 0.5335
In 0.7294 0.8788 0.2617
In 0.2617 0.7294 0.8788
In 0.1212 0.7383 0.2706
In 0.7383 0.2706 0.1212
In 0.2706 0.1212 0.7383
In 0.8788 0.2617 0.7294
Zn 0.0000 0.0000 0.0000

The magnetic moment is 0.0000 μB per atom. The formation energy comes out at -0.247 eV/atom.



[7]
VASP calculation (GGA-PBE) on a relaxed VReRh2I crystal.

a = 4.4345 Å, b = 4.9233 Å, c = 4.4345 Å
α = 90.00°, β = 90.00°, γ = 90.00°
Positions (direct):
Rh 0.5000 0.0000 0.0000
Rh 0.0000 0.0000 0.5000
V 0.0000 0.0000 0.0000
Re 0.5000 0.5000 0.5000
I 0.0000 0.5000 0.0000

The magnetic moment is 0.0001 μB per atom. The value obtained for the formation energy without anion corrections is 1.646 eV/atom.



[8]
VASP calculation (GGA-PBE) on a relaxed MgSi2Pt crystal.

a = 4.9537 Å, b = 4.9537 Å, c = 4.9537 Å
α = 132.90°, β = 134.36°, γ = 67.67°
Positions (direct):
Si 0.0303 0.0303 0.0000
Si 0.7462 0.2462 0.5000
Pt 0.2349 0.7349 0.5000
Mg 0.4885 0.4885 0.0000

The magnetic moment is 0.0000 μB per atom. The value obtained for the formation energy without anion corrections is -0.173 eV/atom.



[9]
VASP calculation (GGA-PBE) on a relaxed KCeAu2 crystal.

a = 3.8107 Å, b = 3.8107 Å, c = 8.1099 Å
α = 90.00°, β = 90.00°, γ = 90.00°
Positions (direct):
Ce 0.5000 0.5000 0.0000
Au 0.0000 0.0000 0.8096
Au 0.0000 0.0000 0.1904
K 0.5000 0.5000 0.5000

The excess energy over the best structure of this formula in the dataset is 0.00 eV per formula unit. The magnetic moment is 0.2436 μB per atom. The formation energy comes out at -0.469 eV/atom.



[10]
VASP calculation (GGA-PBE) on a relaxed CaMo2Os2 crystal.

a = 7.8429 Å, b = 7.8429 Å, c = 2.8348 Å
α = 90.00°, β = 90.00°, γ = 90.00°
Positions (direct):
Os 0.8572 0.3572 0.5000
Os 0.1428 0.6428 0.5000
Os 0.6428 0.8572 0.5000
Os 0.3572 0.1428 0.5000
Mo 0.3537 0.8537 0.0000
Mo 0.6463 0.1463 0.0000
Mo 0.1463 0.3537 0.0000
Mo 0.8537 0.6463 0.0000
Ca 0.0000 0.0000 0.0000
Ca 0.5000 0.5000 0.0000

The excess energy over the best structure of this formula in the dataset is 0.00 eV per formula unit. The magnetic moment is 0.0000 μB per atom. The formation energy comes out at 0.217 eV/atom.



[11]
VASP calculation (GGA-PBE) on a relaxed LaH2PtS crystal.

a = 3.9177 Å, b = 3.9177 Å, c = 4.8956 Å
α = 90.00°, β = 90.00°, γ = 90.00°
Positions (direct):
H 0.5000 0.0000 0.0000
H 0.0000 0.5000 0.0000
La 0.5000 0.5000 0.5000
Pt 0.0000 0.0000 0.0000
S 0.0000 0.0000 0.5000

Its total energy is -5.157 eV per atom. The magnetic moment is 0.0000 μB per atom.



[12]
VASP calculation (GGA-PBE) on a relaxed ScMn crystal.

a = 5.3746 Å, b = 5.3746 Å, c = 5.3421 Å
α = 90.00°, β = 90.00°, γ = 90.00°
Positions (direct):
Sc 0.3103 0.3103 0.5000
Sc 0.1897 0.8103 0.0000
Sc 0.8103 0.1897 0.0000
Sc 0.6897 0.6897 0.5000
Mn 0.8310 0.1690 0.5000
Mn 0.3310 0.3310 0.0000
Mn 0.1690 0.8310 0.5000
Mn 0.6690 0.6690 0.0000

The magnetic moment is 1.3099 μB per atom. The formation energy comes out at 0.464 eV/atom.